Below is a crystal of Sm3Ge13Ir4 relaxed with PBEsol, with properties calculated at the SCAN level.

The structure belongs to space group Pm-3n (No. 223); the cell edges are 8.980, 8.980 and 8.980 Å and the angles 90.00°, 90.00° and 90.00°. Symmetry generates all atoms from Sm at (0.000, 0.250, 0.500), Ge at (0.000, 0.000, 0.000), Ge at (0.000, 0.305, 0.145) and Ir at (0.250, 0.250, 0.250).

As for the formation enthalpy at 0 K: -60.4 kJ per mole of atoms. The raw total energy is -1356.77 eV per cell.

***

Below is a crystal of SrGe2Ir2 relaxed with PBEsol, with properties calculated at the SCAN level.

The structure belongs to space group I4/mmm (No. 139); the cell edges are 4.177, 4.177 and 10.678 Å and the angles 90.00°, 90.00° and 90.00°. Symmetry generates all atoms from Sr at (0.000, 0.000, 0.000), Ge at (0.000, 0.000, 0.371) and Ir at (0.000, 0.500, 0.250).

As for the formation enthalpy at 0 K: -76.1 kJ per mole of atoms. The raw total energy is -413.19 eV per cell.

***

Below is a crystal of SrGe3Ir relaxed with PBEsol, with properties calculated at the SCAN level.

The structure belongs to space group I4mm (No. 107); the cell edges are 4.446, 4.446 and 10.067 Å and the angles 90.00°, 90.00° and 90.00°. Symmetry generates all atoms from Sr at (0.000, 0.000, 0.000), Ge at (0.000, 0.000, 0.588), Ge at (0.000, 0.500, 0.246) and Ir at (0.000, 0.000, 0.351).

As for the formation enthalpy at 0 K: -64.2 kJ per mole of atoms. The raw total energy is -307.93 eV per cell.

***

Below is a crystal of SrTl2GeIr relaxed with PBEsol, with properties calculated at the SCAN level.

The structure belongs to space group P4/mmm (No. 123); the cell edges are 5.094, 5.094 and 5.825 Å and the angles 90.00°, 90.00° and 90.00°. Symmetry generates all atoms from Sr at (0.000, 0.000, 0.000), Tl at (0.000, 0.500, 0.500), Ge at (0.000, 0.000, 0.500) and Ir at (0.500, 0.500, 0.000).

As for the formation enthalpy at 0 K: 83.0 kJ per mole of atoms. The raw total energy is -252.88 eV per cell.

***

Below is a crystal of TaGe3Ir relaxed with PBEsol, with properties calculated at the SCAN level.

The structure belongs to space group Pm-3m (No. 221); the cell edges are 4.701, 4.701 and 4.701 Å and the angles 90.00°, 90.00° and 90.00°. Symmetry generates all atoms from Ta at (0.000, 0.000, 0.000), Ge at (0.000, 0.500, 0.500) and Ir at (0.500, 0.500, 0.500).

As for the formation enthalpy at 0 K: 98.7 kJ per mole of atoms. The raw total energy is -189.83 eV per cell.

***

Below is a crystal of TaGe3Ir relaxed with PBEsol, with properties calculated at the SCAN level.

The structure belongs to space group Pm-3m (No. 221); the cell edges are 4.842, 4.842 and 4.842 Å and the angles 90.00°, 90.00° and 90.00°. Symmetry generates all atoms from Ta at (0.000, 0.000, 0.000), Ge at (0.000, 0.000, 0.500) and Ir at (0.500, 0.500, 0.500).

As for the formation enthalpy at 0 K: 134.3 kJ per mole of atoms. The raw total energy is -187.99 eV per cell.